Entry 1:
A geometry-optimized PmNdMgSc structure, computed with PBE-GGA.

Structure (CIF):
```
data_PmNdMgSc
_space_group_name_H-M_alt 'F -4 3 m'
_space_group_IT_number 216
_space_group_name_Hall 'F -4 2 3'
_cell_length_a 7.7567
_cell_length_b 7.7567
_cell_length_c 7.7567
_cell_angle_alpha 90.00
_cell_angle_beta 90.00
_cell_angle_gamma 90.00
loop_
_atom_site_label
_atom_site_type_symbol
_atom_site_fract_x
_atom_site_fract_y
_atom_site_fract_z
Pm1 Pm 0.0000 0.0000 0.0000
Nd1 Nd 0.0000 0.0000 0.5000
Mg1 Mg 0.2500 0.2500 0.7500
Sc1 Sc 0.2500 0.2500 0.2500
```

Properties
Formation energy from the elements = 13 meV/atom
Energy above the lowest structure with this stoichiometry = 20 meV per atom
M_tot = 0.000 μB per atom
Fermi-level density of states = 19.16 states/eV per cell
Electronic total energy = -4.3484 eV per atom


Entry 2:
A geometry-optimized Tb2TlCuSe4 structure, computed with PBE-GGA.

Structure (CIF):
```
data_Tb2TlCuSe4
_space_group_name_H-M_alt 'C m c m'
_space_group_IT_number 63
_space_group_name_Hall '-C 2c 2'
_cell_length_a 4.1235
_cell_length_b 14.1709
_cell_length_c 14.4277
_cell_angle_alpha 90.00
_cell_angle_beta 90.00
_cell_angle_gamma 90.00
loop_
_atom_site_label
_atom_site_type_symbol
_atom_site_fract_x
_atom_site_fract_y
_atom_site_fract_z
Tb1 Tb 0.0000 0.1338 0.0648
Tl1 Tl 0.0000 0.3876 0.2500
Cu1 Cu 0.0000 0.3384 0.7500
Se1 Se 0.0000 0.0649 0.2500
Se2 Se 0.0000 0.2352 0.6116
Se3 Se 0.0000 0.5000 0.0000
```

Properties
M_tot = 0.000 μB per atom
Electronic total energy = -5.0264 eV per atom


Entry 3:
A geometry-optimized Hf2ScAg2Te6 structure, computed with PBE-GGA.

Structure (CIF):
```
data_Hf2ScAg2Te6
_space_group_name_H-M_alt 'C 1 2/m 1'
_space_group_IT_number 12
_cell_length_a 7.0193
_cell_length_b 12.1562
_cell_length_c 7.7976
_cell_angle_alpha 90.00
_cell_angle_beta 107.76
_cell_angle_gamma 90.00
loop_
_space_group_symop_operation_xyz
'x,y,z'
'-x,-y,-z'
'-x,y,-z'
'x,-y,z'
'x+1/2,y+1/2,z'
'-x+1/2,-y+1/2,-z'
'-x+1/2,y+1/2,-z'
'x+1/2,-y+1/2,z'
loop_
_atom_site_label
_atom_site_type_symbol
_atom_site_fract_x
_atom_site_fract_y
_atom_site_fract_z
Hf1 Hf 0.0000 0.1667 0.0000
Sc1 Sc 0.0000 0.5000 0.0000
Ag1 Ag 0.0000 0.3320 0.5000
Te1 Te 0.2440 0.0000 0.2353
Te2 Te 0.2486 0.3310 0.2370
```

Properties
M_tot = 0.000 μB per atom
Fermi-level density of states = 9.44 states/eV per cell
Electronic total energy = -5.2358 eV per atom


Entry 4:
A geometry-optimized Np3Ru structure, computed with PBE-GGA.

Structure (CIF):
```
data_Np3Ru
_space_group_name_H-M_alt 'P m m 2'
_space_group_IT_number 25
_cell_length_a 3.4935
_cell_length_b 4.4945
_cell_length_c 4.8428
_cell_angle_alpha 90.00
_cell_angle_beta 90.00
_cell_angle_gamma 90.00
loop_
_space_group_symop_operation_xyz
'x,y,z'
'-x,-y,z'
'-x,y,z'
'x,-y,z'
loop_
_atom_site_label
_atom_site_type_symbol
_atom_site_fract_x
_atom_site_fract_y
_atom_site_fract_z
Np1 Np 0.0000 0.0000 0.0000
Np2 Np 0.0000 0.5000 0.4739
Np3 Np 0.5000 0.5000 0.1130
Ru1 Ru 0.5000 0.0000 0.5541
```

Properties
Formation energy from the elements = 181 meV/atom
M_tot = 0.623 μB per atom
Fermi-level density of states = 9.52 states/eV per cell
Electronic total energy = -11.8432 eV per atom


Entry 5:
A geometry-optimized DyAu2F8 structure, computed with PBE-GGA.

Structure (CIF):
```
data_DyAu2F8
_space_group_name_H-M_alt 'P -1'
_space_group_IT_number 2
_cell_length_a 4.1270
_cell_length_b 6.7715
_cell_length_c 6.7855
_cell_angle_alpha 68.64
_cell_angle_beta 72.89
_cell_angle_gamma 72.86
loop_
_space_group_symop_operation_xyz
'x,y,z'
'-x,-y,-z'
loop_
_atom_site_label
_atom_site_type_symbol
_atom_site_fract_x
_atom_site_fract_y
_atom_site_fract_z
Dy1 Dy 0.0000 0.0000 0.0000
Au1 Au 0.1440 0.3598 0.3602
F1 F 0.1382 0.1028 0.6293
F2 F 0.1385 0.6287 0.1027
F3 F 0.3556 0.6408 0.6401
F4 F 0.3834 0.1143 0.1144
```

Properties
M_tot = 0.000 μB per atom
Fermi-level density of states = 4.73 states/eV per cell
Electronic total energy = -4.4047 eV per atom


Entry 6:
A geometry-optimized AsIr3N structure, computed with PBE-GGA.

Structure (CIF):
```
data_AsIr3N
_space_group_name_H-M_alt 'P m -3 m'
_space_group_IT_number 221
_space_group_name_Hall '-P 4 2 3'
_cell_length_a 4.5869
_cell_length_b 4.5869
_cell_length_c 4.5869
_cell_angle_alpha 90.00
_cell_angle_beta 90.00
_cell_angle_gamma 90.00
loop_
_atom_site_label
_atom_site_type_symbol
_atom_site_fract_x
_atom_site_fract_y
_atom_site_fract_z
As1 As 0.0000 0.0000 0.0000
Ir1 Ir 0.0000 0.0000 0.5000
N1 N 0.5000 0.5000 0.5000
```

Properties
Energy above the lowest structure with this stoichiometry = 1551 meV per atom
M_tot = 0.729 μB per atom
Fermi-level density of states = 7.29 states/eV per cell
Electronic total energy = -5.5560 eV per atom


Entry 7:
A geometry-optimized ZrAlPdRh structure, computed with PBE-GGA.

Structure (CIF):
```
data_ZrAlPdRh
_space_group_name_H-M_alt 'I -4 m 2'
_space_group_IT_number 119
_space_group_name_Hall 'I -4 -2'
_cell_length_a 4.1880
_cell_length_b 4.1880
_cell_length_c 7.4349
_cell_angle_alpha 90.00
_cell_angle_beta 90.00
_cell_angle_gamma 90.00
loop_
_atom_site_label
_atom_site_type_symbol
_atom_site_fract_x
_atom_site_fract_y
_atom_site_fract_z
Zr1 Zr 0.0000 0.0000 0.0000
Al1 Al 0.0000 0.0000 0.5000
Pd1 Pd 0.0000 0.5000 0.7500
Rh1 Rh 0.0000 0.5000 0.2500
```

Properties
Formation energy from the elements = -844 meV/atom
M_tot = 0.000 μB per atom
Fermi-level density of states = 2.51 states/eV per cell
Electronic total energy = -7.0529 eV per atom


Entry 8:
A geometry-optimized Ca3HfBi structure, computed with PBE-GGA.

Structure (CIF):
```
data_Ca3HfBi
_space_group_name_H-M_alt 'P m -3 m'
_space_group_IT_number 221
_space_group_name_Hall '-P 4 2 3'
_cell_length_a 5.7420
_cell_length_b 5.7420
_cell_length_c 5.7420
_cell_angle_alpha 90.00
_cell_angle_beta 90.00
_cell_angle_gamma 90.00
loop_
_atom_site_label
_atom_site_type_symbol
_atom_site_fract_x
_atom_site_fract_y
_atom_site_fract_z
Ca1 Ca 0.0000 0.0000 0.5000
Hf1 Hf 0.0000 0.0000 0.0000
Bi1 Bi 0.5000 0.5000 0.5000
```

Properties
Formation energy from the elements = 806 meV/atom
Energy above the lowest structure with this stoichiometry = 262 meV per atom
M_tot = 0.300 μB per atom
Fermi-level density of states = 7.63 states/eV per cell
Electronic total energy = -3.1617 eV per atom


Entry 9:
A geometry-optimized SrY2Sc structure, computed with PBE-GGA.

Structure (CIF):
```
data_SrY2Sc
_space_group_name_H-M_alt 'I 4/m m m'
_space_group_IT_number 139
_space_group_name_Hall '-I 4 2'
_cell_length_a 5.1305
_cell_length_b 5.1305
_cell_length_c 10.1939
_cell_angle_alpha 90.00
_cell_angle_beta 90.00
_cell_angle_gamma 90.00
loop_
_atom_site_label
_atom_site_type_symbol
_atom_site_fract_x
_atom_site_fract_y
_atom_site_fract_z
Sr1 Sr 0.0000 0.0000 0.0000
Y1 Y 0.0000 0.5000 0.2500
Sc1 Sc 0.0000 0.0000 0.5000
```

Properties
Formation energy from the elements = 255 meV/atom
Energy above the lowest structure with this stoichiometry = 146 meV per atom
M_tot = 0.003 μB per atom
Fermi-level density of states = 16.72 states/eV per cell
Electronic total energy = -4.9803 eV per atom


Entry 10:
A geometry-optimized NdHoErCu structure, computed with PBE-GGA.

Structure (CIF):
```
data_NdHoErCu
_space_group_name_H-M_alt 'P 4 m m'
_space_group_IT_number 99
_cell_length_a 3.5034
_cell_length_b 3.5034
_cell_length_c 8.6940
_cell_angle_alpha 90.00
_cell_angle_beta 90.00
_cell_angle_gamma 90.00
loop_
_space_group_symop_operation_xyz
'x,y,z'
'-y,x,z'
'-x,-y,z'
'y,-x,z'
'-x,y,z'
'y,x,z'
'x,-y,z'
'-y,-x,z'
loop_
_atom_site_label
_atom_site_type_symbol
_atom_site_fract_x
_atom_site_fract_y
_atom_site_fract_z
Nd1 Nd 0.0000 0.0000 0.0000
Ho1 Ho 0.5000 0.5000 0.6908
Er1 Er 0.5000 0.5000 0.3078
Cu1 Cu 0.0000 0.0000 0.4966
```

Properties
Formation energy from the elements = -109 meV/atom
M_tot = 0.000 μB per atom
Fermi-level density of states = 3.96 states/eV per cell
Electronic total energy = -4.6105 eV per atom


Entry 11:
A geometry-optimized AgTe3I structure, computed with PBE-GGA.

Structure (CIF):
```
data_AgTe3I
_space_group_name_H-M_alt 'P m n a'
_space_group_IT_number 53
_cell_length_a 16.5003
_cell_length_b 5.1959
_cell_length_c 8.7885
_cell_angle_alpha 90.00
_cell_angle_beta 90.00
_cell_angle_gamma 90.00
loop_
_space_group_symop_operation_xyz
'x,y,z'
'-x,-y,-z'
'-x+1/2,-y,z+1/2'
'x+1/2,y,-z+1/2'
'x,-y,-z'
'-x,y,z'
'-x+1/2,y,-z+1/2'
'x+1/2,-y,z+1/2'
loop_
_atom_site_label
_atom_site_type_symbol
_atom_site_fract_x
_atom_site_fract_y
_atom_site_fract_z
Ag1 Ag 0.2500 0.1998 0.2500
Te1 Te 0.0000 0.1347 0.2189
Te2 Te 0.1267 0.1258 0.6426
I1 I 0.1813 0.5000 0.0000
```

Properties
Energy above the lowest structure with this stoichiometry = 0 meV per atom
M_tot = 0.000 μB per atom
Electronic total energy = -2.8510 eV per atom


Entry 12:
A geometry-optimized HfVZn structure, computed with PBE-GGA.

Structure (CIF):
```
data_HfVZn
_space_group_name_H-M_alt 'F d d d'
_space_group_IT_number 70
_cell_length_a 5.1716
_cell_length_b 9.3974
_cell_length_c 17.4671
_cell_angle_alpha 90.00
_cell_angle_beta 90.00
_cell_angle_gamma 90.00
loop_
_space_group_symop_operation_xyz
'x,y,z'
'-x,-y,-z'
'-x+1/4,-y+1/4,z'
'x+1/4,y+1/4,-z'
'x,-y+1/4,-z+1/4'
'-x,y+1/4,z+1/4'
'-x+1/4,y,-z+1/4'
'x+1/4,-y,z+1/4'
'x,y+1/2,z+1/2'
'-x,-y+1/2,-z+1/2'
'-x+1/4,-y+3/4,z+1/2'
'x+1/4,y+3/4,-z+1/2'
'x,-y+3/4,-z+3/4'
'-x,y+3/4,z+3/4'
'-x+1/4,y+1/2,-z+3/4'
'x+1/4,-y+1/2,z+3/4'
'x+1/2,y,z+1/2'
'-x+1/2,-y,-z+1/2'
'-x+3/4,-y+1/4,z+1/2'
'x+3/4,y+1/4,-z+1/2'
'x+1/2,-y+1/4,-z+3/4'
'-x+1/2,y+1/4,z+3/4'
'-x+3/4,y,-z+3/4'
'x+3/4,-y,z+3/4'
'x+1/2,y+1/2,z'
'-x+1/2,-y+1/2,-z'
'-x+3/4,-y+3/4,z'
'x+3/4,y+3/4,-z'
'x+1/2,-y+3/4,-z+1/4'
'-x+1/2,y+3/4,z+1/4'
'-x+3/4,y+1/2,-z+1/4'
'x+3/4,-y+1/2,z+1/4'
loop_
_atom_site_label
_atom_site_type_symbol
_atom_site_fract_x
_atom_site_fract_y
_atom_site_fract_z
Hf1 Hf 0.1250 0.2850 0.1250
V1 V 0.1250 0.1250 0.2527
Zn1 Zn 0.1250 0.1250 0.5414
```

Properties
Formation energy from the elements = 331 meV/atom
Energy above the lowest structure with this stoichiometry = 255 meV per atom
M_tot = 0.000 μB per atom
Fermi-level density of states = 44.43 states/eV per cell
Electronic total energy = -6.4510 eV per atom